Li2Cd5Sn4 | GGA-PBE | relaxed

Cell lengths 4.675, 6.595, 10.249 Å; angles 108.77, 103.18, 90.00 degrees
Fractional coordinates of all 11 atoms:
Li 0.574 0.574 0.149
Li 0.426 0.426 0.851
Cd 0.156 0.419 0.313
Cd 0.844 0.581 0.687
Cd 0.156 0.894 0.313
Cd 0.500 0.000 0.000
Cd 0.844 0.106 0.687
Sn 0.722 0.722 0.444
Sn 0.000 0.270 0.000
Sn 0.278 0.278 0.556
Sn 0.000 0.730 0.000

Values from the calculation:
Total energy   -24.8 eV per cell
DOS at the Fermi energy   4.3 states/eV/cell
E_form   -0.037 eV/atom

TbEr5Tm2Th | GGA-PBE | relaxed

Cell lengths 5.640, 11.025, 9.607 Å; angles 90.00, 90.00, 104.82 degrees
Fractional coordinates of all 18 atoms:
Tb 0.810 0.619 0.518
Tb 0.190 0.381 0.018
Er 0.398 0.796 0.041
Er 0.729 0.458 0.825
Er 0.469 0.938 0.741
Er 0.305 0.610 0.717
Er 0.986 0.972 0.519
Er 0.602 0.204 0.541
Er 0.271 0.542 0.325
Er 0.531 0.062 0.241
Er 0.695 0.390 0.217
Er 0.014 0.028 0.019
Tm 0.885 0.770 0.829
Tm 0.130 0.260 0.711
Tm 0.115 0.230 0.329
Tm 0.870 0.740 0.211
Th 0.594 0.189 0.921
Th 0.406 0.811 0.421

Values from the calculation:
Total energy   -84.6 eV per cell
DOS at the Fermi energy   24.9 states/eV/cell
E_form   0.167 eV/atom

Na4Ag2H | GGA-PBE | relaxed

Cell lengths 4.529, 4.529, 8.719 Å; angles 105.05, 105.05, 90.00 degrees
Fractional coordinates of all 7 atoms:
Na 0.829 0.829 0.659
Na 0.171 0.171 0.341
Na 0.000 0.500 0.000
Na 0.500 0.000 0.000
Ag 0.639 0.639 0.278
Ag 0.361 0.361 0.722
H 0.000 0.000 0.000

Values from the calculation:
Total energy   -14.0 eV per cell
DOS at the Fermi energy   2.6 states/eV/cell